# Y2TcCl, optimized geometry, DFT PBE-GGA
# E_form (uncorrected)	-0.35	eV per atom
# excess energy over the best structure of this formula in the dataset	391	meV/atom
# N(E_F)	0.565	states/eV per atom
# crystal system	tetragonal
data_Y2TcCl
_chemical_formula_sum 'Y2 Tc1 Cl1'
_cell_length_a 5.120
_cell_length_b 5.120
_cell_length_c 3.317
_cell_angle_alpha 90.00
_cell_angle_beta 90.00
_cell_angle_gamma 90.00
_symmetry_space_group_name_H-M 'P 1'
_symmetry_Int_Tables_number 1
_symmetry_space_group_name_Hall 'P 1'
loop_
_atom_site_label
_atom_site_type_symbol
_atom_site_fract_x
_atom_site_fract_y
_atom_site_fract_z
Y1 Y 0.000 0.500 0.000
Y2 Y 0.500 0.000 0.000
Tc1 Tc 0.000 0.000 0.500
Cl1 Cl 0.500 0.500 0.500